(1)
DFT (PBE-GGA) results for a relaxed structure of TbHo4Tm4.

Cell and atoms, written as extended XYZ:
```
9
Lattice="4.949 0.000 0.000 2.474 7.441 0.000 2.474 0.000 7.441" Properties=species:S:1:pos:R:3 pbc="T T T"
Tb 0.000 0.000 0.000
Ho 7.423 4.955 7.440
Ho 2.474 2.487 0.001
Ho 4.949 0.001 4.955
Ho 4.949 7.440 2.487
Tm 4.949 2.487 2.486
Tm 4.949 4.954 4.955
Tm 7.423 4.955 2.487
Tm 2.474 2.486 4.954
```

## Properties
E_form in eV per atom: 0.02
Space group: No. 139
Fermi-level density of states in states/eV per cell: 12.54

(2)
DFT (PBE-GGA) results for a relaxed structure of La6ZnRu2Br3.

Cell and atoms, written as extended XYZ:
```
12
Lattice="7.332 -0.002 0.001 -3.666 6.350 0.001 -1.221 -2.115 7.937" Properties=species:S:1:pos:R:3 pbc="T T T"
La 3.755 1.961 6.353
La 2.356 4.079 1.585
La -1.310 2.273 1.586
La -0.178 4.232 6.353
La 0.090 0.155 6.354
La 2.623 0.001 1.586
Zn 0.000 0.000 0.000
Ru 0.001 4.233 0.001
Ru 3.666 2.116 0.001
Br -2.451 4.238 3.970
Br 4.896 -0.004 3.970
Br 1.223 2.117 3.970
```

## Properties
Space group: No. 12
Fermi-level density of states in states/eV per cell: 6.80
E_form (uncorrected) in eV/atom: -0.903

(3)
DFT (PBE-GGA) results for a relaxed structure of P2PdRu.

Cell and atoms, written as extended XYZ:
```
8
Lattice="5.346 0.000 0.000 0.000 5.346 0.000 2.673 2.673 5.228" Properties=species:S:1:pos:R:3 pbc="T T T"
Ru 2.673 2.673 0.000
Ru 2.673 5.346 2.614
Pd 0.000 0.000 0.000
Pd 5.346 2.673 2.614
P 3.923 1.336 1.307
P 1.423 4.009 1.307
P 4.009 4.096 3.921
P 6.682 6.595 3.921
```

## Properties
E_form in eV per atom: -0.22
Space group: No. 122
Fermi-level density of states in states/eV per cell: 4.81
Energy above the most stable polymorph in this dataset in eV per atom: 0.000

(4)
DFT (PBE-GGA) results for a relaxed structure of LaCoCl.

Cell and atoms, written as extended XYZ:
```
3
Lattice="5.822 -0.114 0.000 3.723 4.478 0.000 -4.773 -2.182 2.524" Properties=species:S:1:pos:R:3 pbc="T T T"
Cl 9.463 4.327 0.000
Co 3.105 1.420 0.000
La 6.522 2.982 0.000
```

## Properties
Space group: No. 107
Fermi-level density of states in states/eV per cell: 4.63
E_form (uncorrected) in eV/atom: -0.374

(5)
DFT (PBE-GGA) results for a relaxed structure of Nb2VCoH.

Cell and atoms, written as extended XYZ:
```
5
Lattice="-2.778 0.881 3.214 -0.458 -4.246 0.767 2.567 0.118 2.186" Properties=species:S:1:pos:R:3 pbc="T T T"
H 0.000 0.000 0.000
Nb -0.229 -2.123 0.384
Nb -1.389 0.440 1.607
Co -0.334 -1.623 3.084
V 1.284 0.059 1.093
```

## Properties
Space group: No. 123
Fermi-level density of states in states/eV per cell: 4.10
Energy above the most stable polymorph in this dataset in eV per atom: 0.055

In order of appearance, E_tot = -40.6; -65.2; -52.3; -15.0; -39.8 eV for the cell shown.
In order of appearance, magnetic moment = 0.0; 0.0; 0.0; 1.0; 1.4 μB per cell.
In order of appearance, theoretical density = 9056; 6025; 5989; 5792; 7757 kg/m³.